1.
Material: Li2NiAg
Method: DFT, PBE-GGA
State: optimized geometry

Cell and atoms, written as CIF:
```
data_Li2NiAg
_cell_length_a 2.7612
_cell_length_b 2.7612
_cell_length_c 25.9584
_cell_angle_alpha 90.00
_cell_angle_beta 90.00
_cell_angle_gamma 120.00
_symmetry_space_group_name_H-M 'R -3 m'
_symmetry_Int_Tables_number 166
_symmetry_space_group_name_Hall '-R 3 2"'
loop_
_atom_site_label
_atom_site_type_symbol
_atom_site_fract_x
_atom_site_fract_y
_atom_site_fract_z
Li1 Li 0.0000 0.0000 0.2426
Ni1 Ni 0.0000 0.0000 0.5000
Ag1 Ag 0.0000 0.0000 0.0000
```

**D(E_F)**: 0.8175 states/eV/atom
**Crystal system**: trigonal
**Formation energy**: 0.020 eV/atom

---

2.
Material: MnIn2Fe
Method: DFT, PBE-GGA
State: optimized geometry

Cell and atoms, written as CIF:
```
data_MnIn2Fe
_cell_length_a 5.8982
_cell_length_b 7.8976
_cell_length_c 2.9405
_cell_angle_alpha 90.00
_cell_angle_beta 90.00
_cell_angle_gamma 90.00
_symmetry_space_group_name_H-M 'C m m m'
_symmetry_Int_Tables_number 65
_symmetry_space_group_name_Hall '-C 2 2'
loop_
_atom_site_label
_atom_site_type_symbol
_atom_site_fract_x
_atom_site_fract_y
_atom_site_fract_z
Mn1 Mn 0.0000 0.0000 0.0000
In1 In 0.2500 0.2500 0.5000
Fe1 Fe 0.0000 0.5000 0.0000
```

**D(E_F)**: 0.7099 states/eV/atom
**Crystal system**: orthorhombic
**Formation energy**: 0.276 eV/atom

---

3.
Material: InFe2Ag
Method: DFT, PBE-GGA
State: optimized geometry

Cell and atoms, written as CIF:
```
data_InFe2Ag
_cell_length_a 9.9994
_cell_length_b 3.1149
_cell_length_c 4.5726
_cell_angle_alpha 90.00
_cell_angle_beta 116.86
_cell_angle_gamma 90.00
_symmetry_space_group_name_H-M 'C 1 m 1'
_symmetry_Int_Tables_number 8
_symmetry_space_group_name_Hall 'C -2y'
loop_
_atom_site_label
_atom_site_type_symbol
_atom_site_fract_x
_atom_site_fract_y
_atom_site_fract_z
In1 In 0.0000 0.0000 0.0000
Fe1 Fe 0.2664 0.5000 0.2663
Fe2 Fe 0.4671 0.0000 0.4669
Ag1 Ag 0.2268 0.0000 0.7265
```

**D(E_F)**: 0.6317 states/eV/atom
**Crystal system**: monoclinic
**Formation energy**: 0.258 eV/atom

---

4.
Material: ReAg
Method: DFT, PBE-GGA
State: optimized geometry

Cell and atoms, written as CIF:
```
data_ReAg
_cell_length_a 8.5393
_cell_length_b 3.9484
_cell_length_c 7.9041
_cell_angle_alpha 90.00
_cell_angle_beta 90.00
_cell_angle_gamma 90.00
_symmetry_space_group_name_H-M 'P n m a'
_symmetry_Int_Tables_number 62
_symmetry_space_group_name_Hall '-P 2ac 2n'
loop_
_atom_site_label
_atom_site_type_symbol
_atom_site_fract_x
_atom_site_fract_y
_atom_site_fract_z
Re1 Re 0.1149 0.2500 0.1994
Re2 Re 0.1249 0.7500 0.0046
Ag1 Ag 0.1195 0.7500 0.4868
Ag2 Ag 0.1335 0.2500 0.7433
```

**D(E_F)**: 0.7040 states/eV/atom
**Crystal system**: orthorhombic
**Formation energy**: 0.587 eV/atom